[1]
DFT (PBE) results for CsKBiTe2 after structural relaxation.

Values from the calculation:
The calculation puts the calculated density at 5.0 Mg/m³. As for the crystal system: orthorhombic. For the magnetization, the calculation gives 0.0 μB per formula unit. For the density of states at the Fermi level, the calculation gives 2.46 states/eV per cell. As for the total energy: -2.99 eV/atom.

a = 7.326 Å, b = 15.617 Å, c = 7.419 Å
α = 90.00°, β = 90.00°, γ = 90.00°
Space group Cmme (No. 67)
Inequivalent atoms, fractional coordinates:
Cs 0.000 0.250 0.236 [4 per cell]
K 0.250 0.000 0.500 [4 per cell]
Bi 0.000 0.000 0.000 [4 per cell]
Te 0.000 0.155 0.743 [8 per cell]

=====

[2]
DFT (PBE) results for Cs4K2TlBi2 after structural relaxation.

Values from the calculation:
The formation energy from the elements comes out at -202 meV per atom. The calculation puts the calculated density at 3.8 Mg/m³. As for the crystal system: monoclinic. For the magnetization, the calculation gives 0.2 μB per formula unit. For the density of states at the Fermi level, the calculation gives 13.34 states/eV per cell.

a = 16.801 Å, b = 11.608 Å, c = 5.903 Å
α = 90.00°, β = 109.73°, γ = 90.00°
Space group C2/m (No. 12)
Inequivalent atoms, fractional coordinates:
Cs 0.138 0.206 0.142 [8 per cell]
K 0.143 0.500 0.648 [4 per cell]
Tl 0.000 0.000 0.500 [2 per cell]
Bi 0.213 0.000 0.714 [4 per cell]

=====

[3]
DFT (PBE) results for Cs2KTlBi2 after structural relaxation.

Values from the calculation:
The formation energy from the elements comes out at -332 meV per atom. The calculation puts the calculated density at 5.3 Mg/m³. As for the crystal system: orthorhombic. For the magnetization, the calculation gives 0.0 μB per formula unit. For the density of states at the Fermi level, the calculation gives 6.24 states/eV per cell.

a = 8.289 Å, b = 17.473 Å, c = 7.999 Å
α = 90.00°, β = 90.00°, γ = 90.00°
Space group Ibam (No. 72)
Inequivalent atoms, fractional coordinates:
Cs 0.237 0.169 0.000 [8 per cell]
K 0.000 0.500 0.250 [4 per cell]
Tl 0.000 0.000 0.250 [4 per cell]
Bi 0.204 0.099 0.500 [8 per cell]

=====

[4]
DFT (PBE) results for CsKTlBi after structural relaxation.

Values from the calculation:
The formation energy from the elements comes out at -255 meV per atom. The calculation puts the calculated density at 6.0 Mg/m³. As for the crystal system: cubic. For the magnetization, the calculation gives 0.0 μB per formula unit. For the density of states at the Fermi level, the calculation gives 3.38 states/eV per cell.

a = 8.656 Å, b = 8.656 Å, c = 8.656 Å
α = 90.00°, β = 90.00°, γ = 90.00°
Space group F-43m (No. 216)
Inequivalent atoms, fractional coordinates:
Cs 0.000 0.000 0.000 [4 per cell]
K 0.250 0.250 0.750 [4 per cell]
Tl 0.250 0.250 0.250 [4 per cell]
Bi 0.000 0.000 0.500 [4 per cell]

=====

[5]
DFT (PBE) results for Cs2KZnBi after structural relaxation.

Values from the calculation:
The formation energy from the elements comes out at -69 meV per atom. The calculation puts the calculated density at 3.3 Mg/m³. As for the crystal system: tetragonal. For the magnetization, the calculation gives 0.7 μB per formula unit. For the density of states at the Fermi level, the calculation gives 1.82 states/eV per cell.

a = 7.240 Å, b = 7.240 Å, c = 5.548 Å
α = 90.00°, β = 90.00°, γ = 90.00°
Space group P4/mmm (No. 123)
Inequivalent atoms, fractional coordinates:
Cs 0.000 0.500 0.000 [2 per cell]
K 0.000 0.000 0.500 [1 per cell]
Zn 0.500 0.500 0.000 [1 per cell]
Bi 0.500 0.500 0.500 [1 per cell]

=====

[6]
DFT (PBE) results for CsLaBi2 after structural relaxation.

Values from the calculation:
The formation energy from the elements comes out at -284 meV per atom. The calculation puts the calculated density at 7.5 Mg/m³. As for the offset from the most stable computed form: 1.42 eV per formula unit. As for the crystal system: cubic. For the magnetization, the calculation gives 0.0 μB per formula unit. For the density of states at the Fermi level, the calculation gives 32.79 states/eV per cell.

a = 8.491 Å, b = 8.491 Å, c = 8.491 Å
α = 90.00°, β = 90.00°, γ = 90.00°
Space group Fm-3m (No. 225)
Inequivalent atoms, fractional coordinates:
Cs 0.000 0.000 0.000 [4 per cell]
La 0.000 0.000 0.500 [4 per cell]
Bi 0.250 0.250 0.250 [8 per cell]

=====

[7]
DFT (PBE) results for CsLaBi2 after structural relaxation.

Values from the calculation:
The formation energy from the elements comes out at -638 meV per atom. The calculation puts the calculated density at 7.0 Mg/m³. As for the offset from the most stable computed form: 0.00 eV per formula unit. As for the crystal system: tetragonal. For the magnetization, the calculation gives 0.0 μB per formula unit. For the density of states at the Fermi level, the calculation gives 1.51 states/eV per cell.

a = 4.452 Å, b = 4.452 Å, c = 8.279 Å
α = 90.00°, β = 90.00°, γ = 90.00°
Space group P4/mmm (No. 123)
Inequivalent atoms, fractional coordinates:
Cs 0.000 0.000 0.000 [1 per cell]
La 0.000 0.000 0.500 [1 per cell]
Bi 0.500 0.500 0.316 [2 per cell]

=====

[8]
DFT (PBE) results for CsLaBi2 after structural relaxation.

Values from the calculation:
The formation energy from the elements comes out at -306 meV per atom. The calculation puts the calculated density at 4.8 Mg/m³. As for the offset from the most stable computed form: 1.33 eV per formula unit. As for the crystal system: tetragonal. For the magnetization, the calculation gives 0.0 μB per formula unit. For the density of states at the Fermi level, the calculation gives 2.87 states/eV per cell.

a = 6.699 Å, b = 6.699 Å, c = 21.078 Å
α = 90.00°, β = 90.00°, γ = 90.00°
Space group I-42d (No. 122)
Inequivalent atoms, fractional coordinates:
Cs 0.000 0.000 0.000 [4 per cell]
La 0.000 0.000 0.500 [4 per cell]
Bi 0.069 0.250 0.625 [8 per cell]